Record 1
Below is an optimized crystal structure of Pm4DyHo, with properties calculated at the GGA-PBE level.

Unit cell a=12.172 b=5.692 c=12.154 alpha=90.00 beta=108.74 gamma=90.00
Space group C2/c (No. 15)
Unique sites:
Pm (0.049, 0.249, 0.452)
Pm (0.215, 0.256, 0.285)
Dy (0.000, 0.249, 0.750)
Ho (0.250, 0.250, 0.000)

Computed properties:
* ΔE_f: 0.0589 eV per atom
* offset from the most stable computed form: 0.00 kJ per mole of atoms

Record 2
Below is an optimized crystal structure of NdLuAgHg, with properties calculated at the GGA-PBE level.

Unit cell a=7.414 b=7.414 c=7.414 alpha=90.00 beta=90.00 gamma=90.00
Space group F-43m (No. 216)
Unique sites:
Nd (0.000, 0.000, 0.000)
Lu (0.000, 0.000, 0.500)
Ag (0.250, 0.250, 0.250)
Hg (0.250, 0.250, 0.750)

Computed properties:
* ΔE_f: -0.3726 eV per atom

Record 3
Below is an optimized crystal structure of BeNiRh3, with properties calculated at the GGA-PBE level.

Unit cell a=4.081 b=4.081 c=4.081 alpha=90.00 beta=90.00 gamma=90.00
Space group Pm-3m (No. 221)
Unique sites:
Be (0.000, 0.000, 0.000)
Ni (0.500, 0.500, 0.500)
Rh (0.000, 0.000, 0.500)

Computed properties:
* ΔE_f: 0.3700 eV per atom
* offset from the most stable computed form: 0.00 kJ per mole of atoms

Record 4
Below is an optimized crystal structure of LiPmDySe3, with properties calculated at the GGA-PBE level.

Unit cell a=8.434 b=4.006 c=8.822 alpha=90.00 beta=102.89 gamma=90.00
Space group P2_1/m (No. 11)
Unique sites:
Li (0.086, 0.250, 0.084)
Pm (0.189, 0.250, 0.725)
Dy (0.335, 0.750, 0.337)
Se (0.094, 0.250, 0.370)
Se (0.222, 0.750, 0.998)
Se (0.430, 0.750, 0.674)

Computed properties:
* DFT total energy: -63.43 eV/cell

Record 5
Below is an optimized crystal structure of SrFeI2N, with properties calculated at the GGA-PBE level.

Unit cell a=5.645 b=5.645 c=3.645 alpha=90.00 beta=90.00 gamma=90.00
Space group P4/mmm (No. 123)
Unique sites:
Sr (0.000, 0.000, 0.000)
Fe (0.500, 0.500, 0.500)
I (0.000, 0.500, 0.500)
N (0.500, 0.500, 0.000)

Computed properties:
* offset from the most stable computed form: 0.00 kJ per mole of atoms

Record 6
Below is an optimized crystal structure of TlSb2Pb5, with properties calculated at the GGA-PBE level.

Unit cell a=4.398 b=10.226 c=12.144 alpha=90.00 beta=90.00 gamma=90.00
Space group Immm (No. 71)
Unique sites:
Tl (0.000, 0.000, 0.000)
Sb (0.000, 0.500, 0.276)
Pb (0.000, 0.187, 0.350)
Pb (0.000, 0.500, 0.000)

Computed properties:
* offset from the most stable computed form: 2.63 kJ per mole of atoms

Record 7
Below is an optimized crystal structure of LaCoIrS2, with properties calculated at the GGA-PBE level.

Unit cell a=4.674 b=4.674 c=5.393 alpha=90.00 beta=90.00 gamma=90.00
Space group P4/mmm (No. 123)
Unique sites:
La (0.000, 0.000, 0.000)
Co (0.500, 0.500, 0.000)
Ir (0.000, 0.000, 0.500)
S (0.000, 0.500, 0.500)

Computed properties:
* DFT total energy: -27.35 eV/cell

Record 8
Below is an optimized crystal structure of NaPr2MgTe4, with properties calculated at the GGA-PBE level.

Unit cell a=7.694 b=4.416 c=7.849 alpha=90.00 beta=108.54 gamma=90.00
Space group P2/m (No. 10)
Unique sites:
Na (0.000, 0.000, 0.000)
Pr (0.000, 0.500, 0.500)
Pr (0.500, 0.000, 0.500)
Mg (0.500, 0.500, 0.000)
Te (0.256, 0.500, 0.241)
Te (0.263, 0.000, 0.767)

Computed properties:
* DFT total energy: -34.55 eV/cell